## RbVF3 (GGA+U)

Data for a relaxed RbVF3 crystal.

```
data_RbVF3
_cell_length_a 3.755
_cell_length_b 3.755
_cell_length_c 6.773
_cell_angle_alpha 90.00
_cell_angle_beta 90.00
_cell_angle_gamma 90.00
_space_group_name_H-M_alt 'P 4 m m'
_space_group_IT_number 99
_space_group_name_Hall 'P 4 -2'
loop_
_atom_site_label
_atom_site_fract_x
_atom_site_fract_y
_atom_site_fract_z
Rb1 0.000 0.000 0.000
V1 0.500 0.500 0.424
F1 0.000 0.000 0.623
F2 0.000 0.500 0.291
```

Computed properties:
Total moment (Bohr magnetons per cell): 3.0
Energy (eV per atom): -4.9631